# Nd4InHg7 | Alexandria | PBE | relaxed
# Total DFT energy (no corrections) (Ry per atom): -0.1677
# DFT formation energy (eV/atom): -0.29
# D(E_F) (states/eV per atom): 0.665
# Calculated volume (Å³ per cell): 696
data_Nd4InHg7
_cell_length_a 13.533
_cell_length_b 5.492
_cell_length_c 10.992
_cell_angle_alpha 90.00
_cell_angle_beta 121.63
_cell_angle_gamma 90.00
_space_group_name_H-M_alt 'C 1 2/m 1'
_space_group_IT_number 12
loop_
_space_group_symop_operation_xyz
'x,y,z'
'-x,-y,-z'
'-x,y,-z'
'x,-y,z'
'x+1/2,y+1/2,z'
'-x+1/2,-y+1/2,-z'
'-x+1/2,y+1/2,-z'
'x+1/2,-y+1/2,z'
loop_
_atom_site_label
_atom_site_fract_x
_atom_site_fract_y
_atom_site_fract_z
Nd1 0.079 0.000 0.277
Nd2 0.242 0.000 0.821
In1 0.000 0.500 0.500
Hg1 0.000 0.000 0.500
Hg2 0.082 0.500 0.839
Hg3 0.137 0.000 0.033
Hg4 0.192 0.500 0.420

# CaNiSb2 | Alexandria | PBE | relaxed
# Total DFT energy (no corrections) (Ry per atom): -0.3068
# D(E_F) (states/eV per atom): 0.628
# E_form (uncorrected) (meV/atom): -168
# Calculated volume (Å³ per cell): 179
data_CaNiSb2
_cell_length_a 4.263
_cell_length_b 4.263
_cell_length_c 9.856
_cell_angle_alpha 90.00
_cell_angle_beta 90.00
_cell_angle_gamma 90.00
_space_group_name_H-M_alt 'I -4 m 2'
_space_group_IT_number 119
_space_group_name_Hall 'I -4 -2'
loop_
_atom_site_label
_atom_site_fract_x
_atom_site_fract_y
_atom_site_fract_z
Ca1 0.000 0.000 0.000
Ni1 0.000 0.500 0.750
Sb1 0.000 0.000 0.500
Sb2 0.000 0.500 0.250

# VCo3H | Alexandria | PBE | relaxed
# Energy above the most stable polymorph in this dataset (meV per atom): 1243.4
# Total DFT energy (no corrections) (Ry per atom): -0.4162
# D(E_F) (states/eV per atom): 1.257
# Calculated volume (Å³ per cell): 285
data_VCo3H
_cell_length_a 4.137
_cell_length_b 4.137
_cell_length_c 16.624
_cell_angle_alpha 90.00
_cell_angle_beta 90.00
_cell_angle_gamma 90.00
_space_group_name_H-M_alt 'I -4 m 2'
_space_group_IT_number 119
_space_group_name_Hall 'I -4 -2'
loop_
_atom_site_label
_atom_site_fract_x
_atom_site_fract_y
_atom_site_fract_z
V1 0.000 0.000 0.000
V2 0.000 0.500 0.250
Co1 0.000 0.000 0.353
Co2 0.000 0.244 0.124
H1 0.000 0.500 0.629

# AcSmPBr | Alexandria | PBE | relaxed
# Total DFT energy (no corrections) (Ry per atom): -0.3989
# D(E_F) (states/eV per atom): 0.392
# E_form (uncorrected) (meV/atom): -1450
# Calculated volume (Å³ per cell): 352
data_AcSmPBr
_cell_length_a 4.1582
_cell_length_b 4.1582
_cell_length_c 23.5221
_cell_angle_alpha 90.00
_cell_angle_beta 90.00
_cell_angle_gamma 120.00
_space_group_name_H-M_alt 'R 3 m'
_space_group_IT_number 160
_space_group_name_Hall 'R 3 -2"'
loop_
_atom_site_label
_atom_site_fract_x
_atom_site_fract_y
_atom_site_fract_z
Ac1 0.0000 0.0000 0.0000
Sm1 0.0000 0.0000 0.8035
P1 0.0000 0.0000 0.4103
Br1 0.0000 0.0000 0.2275

# La2MgInTe5 | Alexandria | PBE | relaxed
# Total DFT energy (no corrections) (Ry per atom): -0.3211
# D(E_F) (states/eV per atom): 0.357
# E_form (uncorrected) (meV/atom): -1047
# Calculated volume (Å³ per cell): 1158
data_La2MgInTe5
_cell_length_a 4.508
_cell_length_b 19.016
_cell_length_c 13.513
_cell_angle_alpha 90.00
_cell_angle_beta 90.00
_cell_angle_gamma 90.00
_space_group_name_H-M_alt 'C m c 21'
_space_group_IT_number 36
loop_
_space_group_symop_operation_xyz
'x,y,z'
'-x,-y,z+1/2'
'-x,y,z'
'x,-y,z+1/2'
'x+1/2,y+1/2,z'
'-x+1/2,-y+1/2,z+1/2'
'-x+1/2,y+1/2,z'
'x+1/2,-y+1/2,z+1/2'
loop_
_atom_site_label
_atom_site_fract_x
_atom_site_fract_y
_atom_site_fract_z
La1 0.000 0.114 0.000
La2 0.000 0.134 0.621
Mg1 0.000 0.210 0.331
In1 0.000 0.444 0.777
Te1 0.000 0.050 0.404
Te2 0.000 0.286 0.977
Te3 0.000 0.308 0.668
Te4 0.000 0.362 0.314
Te5 0.000 0.495 0.085

# Th2CdGa3Pd4 | Alexandria | PBE | relaxed
# Total DFT energy (no corrections) (Ry per atom): -0.3862
# DFT formation energy (eV/atom): -0.69
# D(E_F) (states/eV per atom): 0.567
# Calculated volume (Å³ per cell): 199
data_Th2CdGa3Pd4
_cell_length_a 4.146
_cell_length_b 4.146
_cell_length_c 11.606
_cell_angle_alpha 90.00
_cell_angle_beta 90.00
_cell_angle_gamma 90.00
_space_group_name_H-M_alt 'P -4 m 2'
_space_group_IT_number 115
loop_
_space_group_symop_operation_xyz
'x,y,z'
'y,-x,-z'
'-x,-y,z'
'-y,x,-z'
'-x,y,z'
'-y,-x,-z'
'x,-y,z'
'y,x,-z'
loop_
_atom_site_label
_atom_site_fract_x
_atom_site_fract_y
_atom_site_fract_z
Th1 0.000 0.500 0.241
Cd1 0.000 0.000 0.500
Ga1 0.000 0.500 0.875
Ga2 0.500 0.500 0.500
Pd1 0.000 0.000 0.000
Pd2 0.000 0.500 0.659
Pd3 0.500 0.500 0.000

# HoErScRh | Alexandria | PBE | relaxed
# Total DFT energy (no corrections) (Ry per atom): -0.4360
# DFT formation energy (eV/atom): -0.23
# D(E_F) (states/eV per atom): 1.027
# Calculated volume (Å³ per cell): 363
data_HoErScRh
_cell_length_a 7.130
_cell_length_b 7.130
_cell_length_c 7.130
_cell_angle_alpha 90.00
_cell_angle_beta 90.00
_cell_angle_gamma 90.00
_space_group_name_H-M_alt 'F -4 3 m'
_space_group_IT_number 216
_space_group_name_Hall 'F -4 2 3'
loop_
_atom_site_label
_atom_site_fract_x
_atom_site_fract_y
_atom_site_fract_z
Ho1 0.000 0.000 0.000
Er1 0.000 0.000 0.500
Sc1 0.250 0.250 0.750
Rh1 0.250 0.250 0.250

# La2CeGe | Alexandria | PBE | relaxed
# Energy above the most stable polymorph in this dataset (meV per atom): 0.0
# Total DFT energy (no corrections) (Ry per atom): -0.4035
# DFT formation energy (eV/atom): -0.39
# D(E_F) (states/eV per atom): 1.837
# Calculated volume (Å³ per cell): 233
data_La2CeGe
_cell_length_a 7.293
_cell_length_b 4.377
_cell_length_c 7.868
_cell_angle_alpha 90.00
_cell_angle_beta 111.96
_cell_angle_gamma 90.00
_space_group_name_H-M_alt 'P 1 21/m 1'
_space_group_IT_number 11
loop_
_space_group_symop_operation_xyz
'x,y,z'
'-x,-y,-z'
'-x,y+1/2,-z'
'x,-y+1/2,z'
loop_
_atom_site_label
_atom_site_fract_x
_atom_site_fract_y
_atom_site_fract_z
La1 0.130 0.250 0.386
La2 0.256 0.250 0.948
Ce1 0.370 0.750 0.316
Ge1 0.344 0.750 0.702

# Ba2PPb | Alexandria | PBE | relaxed
# Energy above the most stable polymorph in this dataset (meV per atom): 0.0
# Total DFT energy (no corrections) (Ry per atom): -0.2839
# DFT formation energy (eV/atom): -0.62
# D(E_F) (states/eV per atom): 0.535
# Calculated volume (Å³ per cell): 297
data_Ba2PPb
_cell_length_a 12.502
_cell_length_b 4.489
_cell_length_c 5.388
_cell_angle_alpha 90.00
_cell_angle_beta 100.51
_cell_angle_gamma 90.00
_space_group_name_H-M_alt 'C 1 m 1'
_space_group_IT_number 8
loop_
_space_group_symop_operation_xyz
'x,y,z'
'x,-y,z'
'x+1/2,y+1/2,z'
'x+1/2,-y+1/2,z'
loop_
_atom_site_label
_atom_site_fract_x
_atom_site_fract_y
_atom_site_fract_z
Ba1 0.000 0.000 0.000
Ba2 0.233 0.500 0.552
P1 0.271 0.000 0.097
Pb1 0.447 0.000 0.460

# PrY6Ho2Sc3 | Alexandria | PBE | relaxed
# Total DFT energy (no corrections) (Ry per atom): -0.4354
# DFT formation energy (eV/atom): 0.05
# D(E_F) (states/eV per atom): 1.582
# Calculated volume (Å³ per cell): 729
data_PrY6Ho2Sc3
_cell_length_a 6.085
_cell_length_b 10.536
_cell_length_c 11.544
_cell_angle_alpha 90.00
_cell_angle_beta 100.10
_cell_angle_gamma 90.00
_space_group_name_H-M_alt 'C 1 2/m 1'
_space_group_IT_number 12
loop_
_space_group_symop_operation_xyz
'x,y,z'
'-x,-y,-z'
'-x,y,-z'
'x,-y,z'
'x+1/2,y+1/2,z'
'-x+1/2,-y+1/2,-z'
'-x+1/2,y+1/2,-z'
'x+1/2,-y+1/2,z'
loop_
_atom_site_label
_atom_site_fract_x
_atom_site_fract_y
_atom_site_fract_z
Pr1 0.000 0.000 0.000
Y1 0.246 0.333 0.740
Y2 0.247 0.000 0.740
Ho1 0.000 0.333 0.000
Sc1 0.000 0.167 0.500
Sc2 0.000 0.500 0.500